Density functional theory data (PBE-GGA) for a relaxed structure of SmThSn.

Results
Energy in eV per atom: -5.1353
Energy of formation in eV/atom: 0.2453
ΔE to the lowest computed polymorph in kJ/mol of formula units: 224

a = 9.311 Å, b = 9.311 Å, c = 9.311 Å
α = 159.48°, β = 159.48°, γ = 29.19°
Atoms (fractional coordinates):
Sm (0.000, 0.000, 0.000)
Th (0.810, 0.810, 0.000)
Sn (0.175, 0.175, 0.000)

=====

Density functional theory data (PBE-GGA) for a relaxed structure of Cd3SBr3.

Results
Formation energy from raw total energies in kcal/mol of atoms: -12.06
Energy in eV per atom: -2.2219

a = 9.461 Å, b = 9.461 Å, c = 6.211 Å
α = 90.00°, β = 90.00°, γ = 120.03°
Atoms (fractional coordinates):
Cd (0.181, 0.819, 0.750)
Cd (0.182, 0.363, 0.750)
Cd (0.363, 0.182, 0.250)
Cd (0.637, 0.818, 0.750)
Cd (0.818, 0.637, 0.250)
Cd (0.819, 0.181, 0.250)
S (0.333, 0.667, 0.750)
S (0.667, 0.333, 0.250)
Br (0.158, 0.316, 0.250)
Br (0.158, 0.842, 0.250)
Br (0.316, 0.158, 0.750)
Br (0.684, 0.842, 0.250)
Br (0.842, 0.158, 0.750)
Br (0.842, 0.684, 0.750)

=====

Density functional theory data (PBE-GGA) for a relaxed structure of HoLu2Zr.

Results
Energy in eV per atom: -5.4749
Energy of formation in eV/atom: 0.0670
ΔE to the lowest computed polymorph in kJ/mol of formula units: 0

a = 11.310 Å, b = 11.310 Å, c = 11.310 Å
α = 17.26°, β = 17.26°, γ = 17.26°
Atoms (fractional coordinates):
Ho (0.000, 0.000, 0.000)
Lu (0.245, 0.245, 0.245)
Lu (0.755, 0.755, 0.755)
Zr (0.500, 0.500, 0.500)

=====

Density functional theory data (PBE-GGA) for a relaxed structure of RbNaSbS3.

Results
Formation energy from raw total energies in kcal/mol of atoms: -17.22
Energy in eV per atom: -3.8787

a = 7.715 Å, b = 7.715 Å, c = 11.274 Å
α = 90.00°, β = 90.00°, γ = 145.32°
Atoms (fractional coordinates):
Rb (0.249, 0.751, 0.750)
Rb (0.751, 0.249, 0.250)
Na (0.000, 0.000, 0.000)
Na (0.000, 0.000, 0.500)
Sb (0.475, 0.525, 0.250)
Sb (0.525, 0.475, 0.750)
S (0.055, 0.945, 0.250)
S (0.379, 0.621, 0.082)
S (0.379, 0.621, 0.418)
S (0.621, 0.379, 0.582)
S (0.621, 0.379, 0.918)
S (0.945, 0.055, 0.750)

=====

Density functional theory data (PBE-GGA) for a relaxed structure of V11Ru9Pt4.

Results
Energy in eV per atom: -8.9643
Energy of formation in eV/atom: -0.2997

a = 11.097 Å, b = 11.097 Å, c = 2.868 Å
α = 90.00°, β = 90.00°, γ = 107.24°
Atoms (fractional coordinates):
V (0.000, 0.000, 0.000)
V (0.051, 0.418, 0.000)
V (0.187, 0.187, 0.000)
V (0.189, 0.811, 0.000)
V (0.377, 0.623, 0.000)
V (0.418, 0.051, 0.000)
V (0.582, 0.949, 0.000)
V (0.623, 0.377, 0.000)
V (0.811, 0.189, 0.000)
V (0.813, 0.813, 0.000)
V (0.949, 0.582, 0.000)
Ru (0.004, 0.214, 0.500)
Ru (0.166, 0.616, 0.500)
Ru (0.214, 0.004, 0.500)
Ru (0.384, 0.834, 0.500)
Ru (0.500, 0.500, 0.500)
Ru (0.616, 0.166, 0.500)
Ru (0.786, 0.996, 0.500)
Ru (0.834, 0.384, 0.500)
Ru (0.996, 0.786, 0.500)
Pt (0.249, 0.404, 0.500)
Pt (0.404, 0.249, 0.500)
Pt (0.596, 0.751, 0.500)
Pt (0.751, 0.596, 0.500)

=====

Density functional theory data (PBE-GGA) for a relaxed structure of CuNiBr4.

Results
Formation energy from raw total energies in kcal/mol of atoms: -6.60
Energy in eV per atom: -3.0477

a = 7.562 Å, b = 7.562 Å, c = 6.698 Å
α = 113.92°, β = 113.92°, γ = 27.61°
Atoms (fractional coordinates):
Cu (0.000, 0.000, 0.000)
Ni (0.500, 0.500, 0.500)
Br (0.112, 0.112, 0.472)
Br (0.400, 0.400, 0.073)
Br (0.600, 0.600, 0.927)
Br (0.888, 0.888, 0.528)